Record 1
Compound: MgReHg2
Source: Alexandria via LeMat-Bulk
Functional: PBE
Structure: optimized geometry

a = 4.134 Å, b = 4.134 Å, c = 10.226 Å
α = 78.34°, β = 78.34°, γ = 90.00°
Sites, in units of the cell vectors:
Mg: 0.250 0.750 0.500
Mg: 0.500 0.500 0.000
Hg: 0.114 0.625 0.250
Hg: 0.375 0.364 0.750
Hg: 0.875 0.886 0.750
Hg: 0.636 0.125 0.250
Re: 0.000 0.000 0.000
Re: 0.750 0.250 0.500

## Properties
ΔE_f in eV per formula unit: 3.5
VASP energy in Ry/atom: -0.204
Magnetization in μB/f.u.: 0.00
Fermi-level density of states in states/eV/f.u.: 4.58



Record 2
Compound: PmNd5Y5
Source: Alexandria via LeMat-Bulk
Functional: PBE
Structure: optimized geometry

a = 6.979 Å, b = 8.803 Å, c = 9.657 Å
α = 44.34°, β = 89.57°, γ = 105.64°
Sites, in units of the cell vectors:
Y: 0.347 0.497 0.780
Y: 0.653 0.503 0.220
Y: 0.314 0.040 0.323
Y: 0.000 0.500 0.500
Y: 0.686 0.960 0.677
Nd: 0.235 0.091 0.645
Nd: 0.851 0.512 0.853
Nd: 0.765 0.909 0.355
Nd: 0.500 0.000 0.000
Nd: 0.149 0.488 0.147
Pm: 0.000 0.000 0.000

## Properties
ΔE_f in eV per formula unit: 1.5
VASP energy in Ry/atom: -0.397
Magnetization in μB/f.u.: 0.00
Fermi-level density of states in states/eV/f.u.: 15.67
Energy above the most stable polymorph in this dataset in eV/atom: 0.000



Record 3
Compound: HoTe3Au2
Source: Alexandria via LeMat-Bulk
Functional: PBE
Structure: optimized geometry

a = 4.232 Å, b = 7.713 Å, c = 11.174 Å
α = 97.43°, β = 100.91°, γ = 90.00°
Sites, in units of the cell vectors:
Te: 0.580 0.375 0.161
Te: 0.248 0.205 0.497
Te: 0.918 0.188 0.835
Te: 0.082 0.812 0.165
Te: 0.420 0.625 0.839
Te: 0.752 0.795 0.503
Ho: 0.351 0.954 0.702
Ho: 0.649 0.046 0.298
Au: 0.049 0.150 0.099
Au: 0.705 0.441 0.409
Au: 0.951 0.850 0.901
Au: 0.295 0.559 0.591

## Properties
Uncorrected formation energy in eV/atom: -0.58
VASP energy in Ry/atom: -0.295
Magnetization in μB/f.u.: 0.00
Fermi-level density of states in states/eV/f.u.: 2.99



Record 4
Compound: Tm4In2AgHg
Source: Alexandria via LeMat-Bulk
Functional: PBE
Structure: optimized geometry

a = 5.200 Å, b = 5.200 Å, c = 9.031 Å
α = 73.27°, β = 73.27°, γ = 60.00°
Sites, in units of the cell vectors:
Tm: 0.126 0.126 0.623
Tm: 0.624 0.624 0.127
Tm: 0.874 0.874 0.377
Tm: 0.376 0.376 0.873
In: 0.249 0.249 0.253
In: 0.751 0.751 0.747
Hg: 0.000 0.000 0.000
Ag: 0.500 0.500 0.500

## Properties
ΔE_f in eV per formula unit: -3.3
VASP energy in Ry/atom: -0.274
Magnetization in μB/f.u.: 0.00
Fermi-level density of states in states/eV/f.u.: 6.13